A plane-wave DFT calculation with GGA-PBE was carried out for an optimized crystal structure of Si2WI.

Calculated values
* space group: Fm-3m, No. 225
* crystal system: cubic
* relative energy among the computed polymorphs: 0.2366 eV per atom

Lattice parameters (Å, degrees): 4.6254 4.6254 4.6254 60.00 60.00 60.00
Fractional positions:
Si1 0.2500 0.2500 0.2500
Si2 0.7500 0.7500 0.7500
W1 0.0000 0.0000 0.0000
I1 0.5000 0.5000 0.5000

=====

A plane-wave DFT calculation with GGA-PBE was carried out for an optimized crystal structure of AgSO4F2.

Calculated values
* space group: C2/c, No. 15
* crystal system: monoclinic

Lattice parameters (Å, degrees): 6.1454 6.1454 5.7840 103.75 103.75 92.96
Fractional positions:
Ag1 0.0000 0.5000 0.0000
Ag2 0.5000 0.0000 0.5000
S1 0.0000 0.0000 0.0000
S2 0.0000 0.0000 0.5000
O1 0.1473 0.1746 0.9186
O2 0.1701 0.8228 0.5180
O3 0.1746 0.1473 0.4186
O4 0.1772 0.8299 0.9820
O5 0.8228 0.1701 0.0180
O6 0.8254 0.8527 0.5814
O7 0.8299 0.1772 0.4820
O8 0.8527 0.8254 0.0814
F1 0.0000 0.5000 0.5000
F2 0.5000 0.0000 0.0000
F3 0.5000 0.5000 0.0000
F4 0.5000 0.5000 0.5000

=====

A plane-wave DFT calculation with GGA-PBE was carried out for an optimized crystal structure of MgHgPb.

Calculated values
* ΔH_f (0 K): -0.02 eV per atom
* space group: P-1, No. 2
* crystal system: triclinic

Lattice parameters (Å, degrees): 4.5457 6.0740 6.4817 108.21 90.35 111.77
Fractional positions:
Mg1 0.1667 0.3347 0.1038
Mg2 0.8333 0.6653 0.8962
Hg1 0.1910 0.3825 0.6209
Hg2 0.8090 0.6175 0.3791
Pb1 0.4882 0.9746 0.2452
Pb2 0.5118 0.0254 0.7548

=====

A plane-wave DFT calculation with GGA-PBE was carried out for an optimized crystal structure of CeSbIr.

Calculated values
* space group: Pnma, No. 62
* crystal system: orthorhombic

Lattice parameters (Å, degrees): 7.2740 4.5809 7.9900 90.00 90.00 90.00
Fractional positions:
Ce1 0.0108 0.2500 0.1921
Ce2 0.4892 0.7500 0.6921
Ce3 0.5108 0.2500 0.3079
Ce4 0.9892 0.7500 0.8079
Sb1 0.1757 0.2500 0.5882
Sb2 0.3243 0.7500 0.0882
Sb3 0.6757 0.2500 0.9118
Sb4 0.8243 0.7500 0.4118
Ir1 0.2211 0.7500 0.4155
Ir2 0.2789 0.2500 0.9155
Ir3 0.7211 0.7500 0.0845
Ir4 0.7789 0.2500 0.5845

=====

A plane-wave DFT calculation with GGA-PBE was carried out for an optimized crystal structure of In2SnPd.

Calculated values
* ΔH_f (0 K): -0.23 eV per atom
* space group: P2_1/m, No. 11
* crystal system: monoclinic

Lattice parameters (Å, degrees): 4.1511 8.5646 5.4687 90.00 111.60 90.00
Fractional positions:
In1 0.1452 0.0473 0.2813
In2 0.1452 0.4527 0.2813
In3 0.8548 0.5473 0.7187
In4 0.8548 0.9527 0.7187
Sn1 0.4400 0.2500 0.8792
Sn2 0.5600 0.7500 0.1208
Pd1 0.2675 0.7500 0.5449
Pd2 0.7325 0.2500 0.4551

=====

A plane-wave DFT calculation with GGA-PBE was carried out for an optimized crystal structure of La2Cd2Ga.

Calculated values
* ΔH_f (0 K): -0.21 eV per atom
* space group: C2/m, No. 12
* crystal system: monoclinic
* relative energy among the computed polymorphs: 0.0000 eV per atom

Lattice parameters (Å, degrees): 6.1203 6.1203 6.3608 94.18 94.18 38.64
Fractional positions:
La1 0.1941 0.1941 0.2149
La2 0.8059 0.8059 0.7851
Cd1 0.0795 0.0795 0.6914
Cd2 0.9205 0.9205 0.3086
Ga1 0.5000 0.5000 0.0000

=====

Computed E_tot, in the same sequence as the records: -0.187 -0.145 -0.069 -0.264 -0.143 -0.116 Ha/atom.
Computed calculated volume, in the same sequence as the records: 17.493 12.796 26.061 22.187 22.597 29.667 A^3/atom.